1.
The following is a PBE calculation of crystalline MnH2I2 at its relaxed geometry, from the Alexandria database.

For the total energy, the calculation gives -4.07 eV/atom.

It has space group C2/m (No. 12), with a = 7.166 Å, b = 4.139 Å, c = 9.437 Å, α = 90.00°, β = 92.60° and γ = 90.00°. The inequivalent atoms are Mn at (0.000, 0.000, 0.000), H at (0.033, 0.000, 0.532) and I at (0.177, 0.500, 0.176).



2.
The following is a PBE calculation of crystalline RbAl2Ge2 at its relaxed geometry, from the Alexandria database.

For the total energy, the calculation gives -3.38 eV/atom. As for the energy above the most stable polymorph in this dataset: 0.296 eV per atom. The density of states at the Fermi level comes out at 4.33 states/eV per cell. Its formation energy is 0.1589 eV per atom.

It has space group P4/mbm (No. 127), with a = 8.562 Å, b = 8.562 Å, c = 3.060 Å, α = 90.00°, β = 90.00° and γ = 90.00°. The inequivalent atoms are Rb at (0.000, 0.000, 0.000), Al at (0.122, 0.378, 0.000) and Ge at (0.152, 0.652, 0.500).